# BaCd3Fe (PBEsol, optimized geometry)
data_BaCd3Fe
_chemical_formula_sum 'Ba1 Cd3 Fe1'
_symmetry_space_group_name_H-M 'P m -3 m'
_symmetry_Int_Tables_number 221
_symmetry_space_group_name_Hall '-P 4 2 3'
_cell_length_a 5.063
_cell_length_b 5.063
_cell_length_c 5.063
_cell_angle_alpha 90.00
_cell_angle_beta 90.00
_cell_angle_gamma 90.00
loop_
_atom_site_label
_atom_site_type_symbol
_atom_site_fract_x
_atom_site_fract_y
_atom_site_fract_z
Ba1 Ba 0.000 0.000 0.000
Cd1 Cd 0.000 0.500 0.500
Fe1 Fe 0.500 0.500 0.500
# Electronic total energy (eV/cell): -14.1
# Spin magnetization (μB per cell): 1.30
# ρ (g/cm³): 6.79
# DOS at the Fermi energy (states/eV per cell): 6.27

---

# BaAsPt2 (PBEsol, optimized geometry)
data_BaAsPt2
_chemical_formula_sum 'Ba1 As1 Pt2'
_symmetry_space_group_name_H-M 'P 4/m m m'
_symmetry_Int_Tables_number 123
_symmetry_space_group_name_Hall '-P 4 2'
_cell_length_a 4.655
_cell_length_b 4.655
_cell_length_c 3.891
_cell_angle_alpha 90.00
_cell_angle_beta 90.00
_cell_angle_gamma 90.00
loop_
_atom_site_label
_atom_site_type_symbol
_atom_site_fract_x
_atom_site_fract_y
_atom_site_fract_z
Ba1 Ba 0.000 0.000 0.000
As1 As 0.500 0.500 0.000
Pt1 Pt 0.000 0.500 0.500
# Electronic total energy (eV/cell): -21.1
# Spin magnetization (μB per cell): 0.00
# ρ (g/cm³): 11.86
# DOS at the Fermi energy (states/eV per cell): 3.07